Entry 1:
A plane-wave DFT calculation with GGA-PBE was carried out for a geometry-optimized NdY2PuSe4 structure.

Summary:
The value obtained for the total energy is -7.493 eV/atom. The formation energy without anion corrections comes out at -1747 meV/atom. Its symmetry is P2/m (10). As for the crystal system: monoclinic.

Cell: 4.1143 7.1882 7.1684 Å, 70.89 90.00 90.00°
Fractional coordinates of all 8 atoms:
Nd1 0.5000 0.5000 0.0000
Y1 0.0000 0.0000 0.0000
Y2 0.5000 0.0000 0.5000
Pu1 0.0000 0.5000 0.5000
Se1 0.0000 0.7597 0.7434
Se2 0.0000 0.2403 0.2566
Se3 0.5000 0.7571 0.2509
Se4 0.5000 0.2429 0.7491

Entry 2:
A plane-wave DFT calculation with GGA-PBE was carried out for a geometry-optimized NdPuSi3 structure.

Summary:
The value obtained for the total energy is -7.631 eV/atom. The formation energy without anion corrections comes out at -557 meV/atom. Its symmetry is Cmcm (63). As for the crystal system: orthorhombic.

Cell: 3.9858 4.2041 12.6264 Å, 99.58 90.00 90.00°
Fractional coordinates of all 10 atoms:
Nd1 0.2500 0.0703 0.1407
Nd2 0.7500 0.9297 0.8593
Pu1 0.2500 0.7944 0.5889
Pu2 0.7500 0.2056 0.4111
Si1 0.2500 0.3797 0.7594
Si2 0.7500 0.6203 0.2406
Si3 0.2500 0.4750 0.9500
Si4 0.7500 0.5250 0.0500
Si5 0.7500 0.3257 0.6514
Si6 0.2500 0.6743 0.3486

Entry 3:
A plane-wave DFT calculation with GGA-PBE was carried out for a geometry-optimized NdPu2Si2 structure.

Summary:
The value obtained for the total energy is -8.978 eV/atom. The calculation puts the energy relative to the lowest polymorph listed for this composition at 0.200 eV per atom. The formation energy without anion corrections comes out at -123 meV/atom. Its symmetry is P2_1/m (11). As for the crystal system: monoclinic.

Cell: 3.5714 5.4672 11.8813 Å, 103.56 90.00 90.00°
Fractional coordinates of all 10 atoms:
Nd1 0.2500 0.7548 0.2605
Nd2 0.7500 0.2452 0.7395
Pu1 0.2500 0.8978 0.9456
Pu2 0.7500 0.1022 0.0544
Pu3 0.2500 0.3610 0.4904
Pu4 0.7500 0.6390 0.5096
Si1 0.2500 0.7184 0.7041
Si2 0.7500 0.2816 0.2959
Si3 0.2500 0.3875 0.9469
Si4 0.7500 0.6125 0.0531

> Which of these has the highest formation energy without anion corrections?

NdPu2Si2

> Among the records above, which one has the highest formation energy without anion corrections?

NdPu2Si2